# 1
DFT (meta-GGA SCAN) results for a PBEsol-optimized structure of Ca3Al2P4.

The formation energy comes out at -1018 kJ/mol of formula units. The crystal system is monoclinic. For the total moment, the calculation gives 0.00 μB per atom.

The structure belongs to space group C2/c (No. 15); the cell edges are 12.543, 9.768 and 6.380 Å and the angles 90.00°, 90.84° and 90.00°. The distinct sites, in fractional coordinates, are Ca at (0.000, 0.098, 0.250), Ca at (0.121, 0.372, 0.971), Al at (0.204, 0.125, 0.589), P at (0.112, 0.329, 0.475) and P at (0.155, 0.088, 0.939).

---

# 2
DFT (meta-GGA SCAN) results for a PBEsol-optimized structure of KSiIr2.

Its formation energy without anion corrections is 871 meV per atom. The crystal system is monoclinic. For the total moment, the calculation gives 0.00 μB per atom.

The structure belongs to space group C2/m (No. 12); the cell edges are 5.802, 9.282 and 2.677 Å and the angles 90.00°, 116.88° and 90.00°. The distinct sites, in fractional coordinates, are K at (0.000, 0.000, 0.000), Si at (0.000, 0.500, 0.000) and Ir at (0.250, 0.250, 0.500).

---

# 3
DFT (meta-GGA SCAN) results for a PBEsol-optimized structure of BaCuAs2.

The formation energy comes out at 39 kJ/mol of formula units. The crystal system is tetragonal. For the total moment, the calculation gives 0.00 μB per atom.

The structure belongs to space group I-4m2 (No. 119); the cell edges are 4.597, 4.597 and 8.527 Å and the angles 90.00°, 90.00° and 90.00°. The distinct sites, in fractional coordinates, are Ba at (0.000, 0.000, 0.000), Cu at (0.000, 0.500, 0.250), As at (0.000, 0.000, 0.500) and As at (0.000, 0.500, 0.750).

---

# 4
DFT (meta-GGA SCAN) results for a PBEsol-optimized structure of Li4TlCd.

The formation energy comes out at -86 kJ/mol of formula units. The crystal system is cubic. For the total moment, the calculation gives 0.18 μB per atom.

The structure belongs to space group F-43m (No. 216); the cell edges are 7.515, 7.515 and 7.515 Å and the angles 90.00°, 90.00° and 90.00°. The distinct sites, in fractional coordinates, are Li at (0.125, 0.125, 0.125), Tl at (0.000, 0.000, 0.500) and Cd at (0.250, 0.250, 0.750).

---

# 5
DFT (meta-GGA SCAN) results for a PBEsol-optimized structure of LaY2Sc.

The formation energy comes out at 28 kJ/mol of formula units. The energy above the most stable polymorph in this dataset comes out at 0.004 eV per atom. The crystal system is orthorhombic. For the total moment, the calculation gives 0.00 μB per atom.

The structure belongs to space group Cmmm (No. 65); the cell edges are 6.880, 9.683 and 3.504 Å and the angles 90.00°, 90.00° and 90.00°. The distinct sites, in fractional coordinates, are La at (0.000, 0.000, 0.000), Y at (0.250, 0.250, 0.500) and Sc at (0.000, 0.500, 0.000).

---

# 6
DFT (meta-GGA SCAN) results for a PBEsol-optimized structure of Li3Pt.

The formation energy comes out at -177 kJ/mol of formula units. The energy above the most stable polymorph in this dataset comes out at 0.029 eV per atom. The crystal system is hexagonal. For the total moment, the calculation gives 0.00 μB per atom.

The structure belongs to space group P6_3/mmc (No. 194); the cell edges are 5.3659, 5.3659 and 4.4123 Å and the angles 90.00°, 90.00° and 120.00°. The distinct sites, in fractional coordinates, are Li at (0.1766, 0.3532, 0.2500) and Pt at (0.3333, 0.6667, 0.7500).

---

# 7
DFT (meta-GGA SCAN) results for a PBEsol-optimized structure of InFe2Ir.

The formation energy comes out at 17 kJ/mol of formula units. The crystal system is tetragonal. For the total moment, the calculation gives 1.58 μB per atom.

The structure belongs to space group I4/mmm (No. 139); the cell edges are 3.841, 3.841 and 7.667 Å and the angles 90.00°, 90.00° and 90.00°. The distinct sites, in fractional coordinates, are In at (0.000, 0.000, 0.000), Fe at (0.000, 0.500, 0.250) and Ir at (0.000, 0.000, 0.500).

---

# 8
DFT (meta-GGA SCAN) results for a PBEsol-optimized structure of DyAlSi.

Its formation energy without anion corrections is -643 meV per atom. The crystal system is tetragonal. For the total moment, the calculation gives 0.00 μB per atom.

The structure belongs to space group I4_1md (No. 109); the cell edges are 4.044, 4.044 and 14.421 Å and the angles 90.00°, 90.00° and 90.00°. The distinct sites, in fractional coordinates, are Dy at (0.000, 0.000, 0.000), Al at (0.000, 0.000, 0.584) and Si at (0.000, 0.000, 0.420).